CaZn2Pd2 SCAN single point on PBEsol structure; final energy = -0.7717 hartree per atom
1.0
-0.1051 1.1316 -2.6672
4.2227 -5.6483 -2.5628
-6.1966 -3.9777 -1.4433
Zn Ca Pd
4 2 4
direct
0.5000 0.1387 0.6387
0.5000 0.6387 0.8613
0.5000 0.8613 0.3613
0.5000 0.3613 0.1387
0.0000 0.0000 0.0000
0.0000 0.5000 0.5000
0.0000 0.3450 0.8450
0.0000 0.8450 0.6550
0.0000 0.6550 0.1550
0.0000 0.1550 0.3450

CaZrPd SCAN single point on PBEsol structure; final energy = -0.8682 hartree per atom
1.0
-2.5848 2.4092 2.8791
-4.4381 0.5797 -0.8617
-3.1156 -2.1074 2.5742
Ca Zr Pd
1 1 1
direct
0.2500 0.2500 0.2500
0.5000 0.5000 0.5000
0.0000 0.0000 0.0000

Ca3ZrPd SCAN single point on PBEsol structure; final energy = -0.6352 hartree per atom
1.0
5.3356 0.0000 0.0000
0.0000 5.3356 0.0000
0.0000 0.0000 5.3356
Ca Zr Pd
3 1 1
direct
0.0000 0.5000 0.0000
0.0000 0.0000 0.5000
0.5000 0.0000 0.0000
0.0000 0.0000 0.0000
0.5000 0.5000 0.5000

CaZr3Pd SCAN single point on PBEsol structure; final energy = -0.9265 hartree per atom
1.0
-3.8288 -1.3491 2.6466
1.5220 -4.5986 -0.1423
2.5511 0.7188 4.0570
Ca Zr Pd
1 3 1
direct
0.0000 0.0000 0.0000
0.0000 0.5000 0.0000
0.0000 0.0000 0.5000
0.5000 0.0000 0.0000
0.5000 0.5000 0.5000

CaPmPt2 SCAN single point on PBEsol structure; final energy = -1.8260 hartree per atom
1.0
-2.5568 -4.1406 -0.7107
-0.0952 -3.4613 3.4924
-4.1278 -0.8092 2.5482
Ca Pt Pm
1 2 1
direct
0.5000 0.5000 0.5000
0.7500 0.7500 0.7500
0.2500 0.2500 0.2500
0.0000 0.0000 0.0000

CaPmRh2 SCAN single point on PBEsol structure; final energy = -1.1351 hartree per atom
1.0
-3.5068 1.5267 2.9118
-4.4979 0.3853 -1.6513
-3.3827 -3.0672 1.5020
Ca Rh Pm
1 2 1
direct
0.5000 0.5000 0.5000
0.2500 0.2500 0.2500
0.7500 0.7500 0.7500
0.0000 0.0000 0.0000

CaPmZn2 SCAN single point on PBEsol structure; final energy = -0.7545 hartree per atom
1.0
-1.3991 -1.1808 4.7326
3.4919 -0.3517 3.6649
0.2028 3.5123 3.6567
Zn Ca Pm
2 1 1
direct
0.7500 0.7500 0.7500
0.2500 0.2500 0.2500
0.5000 0.5000 0.5000
0.0000 0.0000 0.0000

CaPrZn2 SCAN single point on PBEsol structure; final energy = -0.7484 hartree per atom
1.0
-1.6995 4.2715 2.2489
-4.4669 -0.0263 2.4974
-0.0794 0.3463 5.1054
Pr Zn Ca
1 2 1
direct
0.0000 0.0000 0.0000
0.2500 0.2500 0.2500
0.7500 0.7500 0.7500
0.5000 0.5000 0.5000

Ca3Pt SCAN single point on PBEsol structure; final energy = -0.9241 hartree per atom
1.0
4.6944 0.0000 0.0000
0.0000 4.6944 0.0000
0.0000 0.0000 4.6944
Ca Pt
3 1
direct
0.0000 0.0000 0.5000
0.0000 0.5000 0.0000
0.5000 0.0000 0.0000
0.5000 0.5000 0.5000

CaPt7 SCAN single point on PBEsol structure; final energy = -2.3130 hartree per atom
1.0
5.6023 0.0000 0.0000
2.8012 4.8518 0.0000
2.8012 1.6173 4.5743
Ca Pt
1 7
direct
0.0000 0.0000 0.0000
0.5000 0.0000 0.5000
0.0000 0.0000 0.5000
0.5000 0.0000 0.0000
0.0000 0.5000 0.5000
0.5000 0.5000 0.0000
0.0000 0.5000 0.0000
0.5000 0.5000 0.5000

Ca2Pt SCAN single point on PBEsol structure; final energy = -1.1291 hartree per atom
1.0
4.3190 0.0000 0.0000
0.0000 7.7338 0.0000
0.0000 -3.8669 6.6977
Ca Pt
6 3
direct
0.0000 0.2573 0.0000
0.5000 0.5892 0.0000
0.0000 0.0000 0.2573
0.5000 0.0000 0.5892
0.0000 0.7427 0.7427
0.5000 0.4108 0.4108
0.5000 0.0000 0.0000
0.0000 0.6667 0.3333
0.0000 0.3333 0.6667

CaPt SCAN single point on PBEsol structure; final energy = -1.4935 hartree per atom
1.0
3.4969 0.0000 0.0000
0.0000 3.9462 0.0000
0.0000 -1.9731 3.4175
Ca Pt
1 1
direct
0.0000 0.0000 0.0000
0.5000 0.6667 0.3333

Ca2Pt SCAN single point on PBEsol structure; final energy = -1.1248 hartree per atom
1.0
-6.3269 3.0736 6.4381
-8.1953 -4.7100 1.2565
-1.4607 -4.9763 8.0018
Ca Pt
16 8
direct
0.1250 0.6250 0.6250
0.6250 0.6250 0.6250
0.6250 0.6250 0.1250
0.6250 0.1250 0.6250
0.0531 0.4469 0.4469
0.0531 0.4469 0.0531
0.4469 0.4469 0.0531
0.0531 0.0531 0.4469
0.4469 0.0531 0.4469
0.4469 0.0531 0.0531
0.1969 0.8031 0.8031
0.1969 0.8031 0.1969
0.8031 0.8031 0.1969
0.1969 0.1969 0.8031
0.8031 0.1969 0.8031
0.8031 0.1969 0.1969
0.8524 0.4428 0.8524
0.8524 0.8524 0.4428
0.8524 0.8524 0.8524
0.4428 0.8524 0.8524
0.3976 0.8072 0.3976
0.3976 0.3976 0.8072
0.3976 0.3976 0.3976
0.8072 0.3976 0.3976

Ca2Pt SCAN single point on PBEsol structure; final energy = -1.1277 hartree per atom
1.0
6.9639 0.0000 0.0000
0.0000 6.9639 0.0000
0.0000 0.0000 6.9639
Ca Pt
8 4
direct
0.1689 0.6689 0.8311
0.1689 0.8311 0.3311
0.3311 0.1689 0.8311
0.3311 0.3311 0.3311
0.6689 0.6689 0.6689
0.6689 0.8311 0.1689
0.8311 0.1689 0.6689
0.8311 0.3311 0.1689
0.0000 0.0000 0.0000
0.0000 0.5000 0.5000
0.5000 0.0000 0.5000
0.5000 0.5000 0.0000

Ca2Pt SCAN single point on PBEsol structure; final energy = -1.1087 hartree per atom
1.0
-1.8037 -1.9565 1.5822
-0.5051 -2.7754 -4.0077
3.6743 -0.8580 3.1277
Ca Pt
2 1
direct
0.0000 0.6667 0.3333
0.0000 0.3333 0.6667
0.5000 0.0000 0.0000

Ca3Pt SCAN single point on PBEsol structure; final energy = -0.9231 hartree per atom
1.0
-0.3761 -4.8017 1.4109
4.4413 -0.9724 -2.1255
-0.1990 3.7528 3.7926
Ca Pt
3 1
direct
0.7500 0.2500 0.5000
0.2500 0.7500 0.5000
0.0000 0.0000 0.0000
0.5000 0.5000 0.0000

Ca3Pt2 SCAN single point on PBEsol structure; final energy = -1.2811 hartree per atom
1.0
-2.7191 0.7913 -6.9240
-7.4715 -0.2518 0.2747
-2.7001 6.9330 -0.7779
Ca Pt
9 6
direct
0.0000 0.0000 0.0000
0.3986 0.6663 0.1528
0.2006 0.2006 0.2006
0.8472 0.6014 0.3337
0.6663 0.1528 0.3986
0.3337 0.8472 0.6014
0.1528 0.3986 0.6663
0.7994 0.7994 0.7994
0.6014 0.3337 0.8472
0.8411 0.4135 0.0460
0.5865 0.9540 0.1589
0.0460 0.8411 0.4135
0.9540 0.1589 0.5865
0.4135 0.0460 0.8411
0.1589 0.5865 0.9540

Ca3Pt SCAN single point on PBEsol structure; final energy = -0.9374 hartree per atom
1.0
6.4772 0.0000 0.0000
0.0000 7.6625 0.0000
0.0000 0.0000 9.3406
Ca Pt
12 4
direct
0.8609 0.0393 0.2500
0.3399 0.1692 0.0648
0.3399 0.1692 0.4352
0.8399 0.3308 0.5648
0.8399 0.3308 0.9352
0.3609 0.4607 0.7500
0.6391 0.5393 0.2500
0.1601 0.6692 0.0648
0.1601 0.6692 0.4352
0.6601 0.8308 0.5648
0.6601 0.8308 0.9352
0.1391 0.9607 0.7500
0.5456 0.1249 0.7500
0.0456 0.3751 0.2500
0.9544 0.6249 0.7500
0.4544 0.8751 0.2500

CaPt5 SCAN single point on PBEsol structure; final energy = -2.2313 hartree per atom
1.0
4.3655 0.0000 0.0000
0.0000 5.3066 0.0000
0.0000 -2.6533 4.5956
Ca Pt
1 5
direct
0.0000 0.0000 0.0000
0.0000 0.6667 0.3333
0.0000 0.3333 0.6667
0.5000 0.5000 0.5000
0.5000 0.0000 0.5000
0.5000 0.5000 0.0000

Ca2Pt SCAN single point on PBEsol structure; final energy = -1.1266 hartree per atom
1.0
-1.8643 -0.7879 -3.2705
1.7686 -5.7063 2.6281
-5.7881 -0.2469 3.3590
Ca Pt
4 2
direct
0.2220 0.4440 0.0781
0.5116 0.0231 0.7658
0.7780 0.5560 0.5781
0.4884 0.9769 0.2658
0.1157 0.2314 0.4894
0.8843 0.7686 0.9894

Ca2Pt SCAN single point on PBEsol structure; final energy = -1.0827 hartree per atom
1.0
-3.3221 4.0207 2.4131
-1.0831 -0.1736 5.6411
2.3214 3.9281 3.4938
Ca Pt
4 2
direct
0.1250 0.1250 0.6250
0.1250 0.6250 0.1250
0.1250 0.1250 0.1250
0.6250 0.1250 0.1250
0.7500 0.7500 0.7500
0.5000 0.5000 0.5000

Ca2Pt SCAN single point on PBEsol structure; final energy = -1.1267 hartree per atom
1.0
4.1905 0.0000 0.0000
0.0000 6.5752 0.0000
0.0000 0.0000 6.5714
Ca Pt
4 2
direct
0.0000 0.2610 0.3390
0.5000 0.2390 0.8390
0.5000 0.7610 0.1610
0.0000 0.7390 0.6610
0.0000 0.0000 0.0000
0.5000 0.5000 0.5000

Ca3RePt SCAN single point on PBEsol structure; final energy = -1.2310 hartree per atom
1.0
-3.1245 3.5092 -2.5211
-4.2147 -3.1609 0.8237
-0.9524 2.4754 4.6259
Re Ca Pt
1 3 1
direct
0.5000 0.5000 0.5000
0.0000 0.5000 0.0000
0.0000 0.0000 0.5000
0.5000 0.0000 0.0000
0.0000 0.0000 0.0000

Ca3RePt SCAN single point on PBEsol structure; final energy = -1.2188 hartree per atom
1.0
5.1868 0.0000 0.0000
0.0000 5.1868 0.0000
0.0000 0.0000 5.1868
Re Ca Pt
1 3 1
direct
0.0000 0.0000 0.0000
0.0000 0.5000 0.0000
0.0000 0.0000 0.5000
0.5000 0.0000 0.0000
0.5000 0.5000 0.5000

CaRePt2 SCAN single point on PBEsol structure; final energy = -2.0274 hartree per atom
1.0
4.5713 0.0000 0.0000
2.2856 3.9588 0.0000
2.2856 1.3196 3.7324
Re Ca Pt
1 1 2
direct
0.5000 0.5000 0.5000
0.0000 0.0000 0.0000
0.2500 0.2500 0.2500
0.7500 0.7500 0.7500

CaRePt2 SCAN single point on PBEsol structure; final energy = -2.0399 hartree per atom
1.0
-0.2335 -2.7020 -0.4960
4.8277 -0.3272 -0.4903
-0.6919 0.5155 5.1807
Re Ca Pt
1 1 2
direct
0.5242 0.5729 0.0484
0.7348 0.1866 0.4697
0.9807 0.0539 0.9614
0.2603 0.6866 0.5206

| no. | formation energy from the elements (meV/atom) |
| --- | --- |
| 1 | -550 |
| 2 | 754 |
| 3 | 1209 |
| 4 | 1694 |
| 5 | -1178 |
| 6 | -589 |
| 7 | -362 |
| 8 | -359 |
| 9 | -350 |
| 10 | -313 |
| 11 | -884 |
| 12 | -712 |
| 13 | -767 |
| 14 | -846 |
| 15 | -330 |
| 16 | -324 |
| 17 | -985 |
| 18 | -713 |
| 19 | -612 |
| 20 | -816 |
| 21 | 378 |
| 22 | -819 |
| 23 | 558 |
| 24 | 891 |
| 25 | 117 |
| 26 | -223 |